1.
Here is a relaxed structure of Pr2Dy5In from the Alexandria database. Energies are from PBE.

Results
Magnetization: 0.00 μB per cell
Offset from the most stable computed form: 24 meV/atom
Calculated formation energy: -59 kJ/mol of formula units

a b c (Å): 7.0975 7.0975 7.0382
angles (deg): 119.72 119.72 90.95
Element x y z (fractional)
1 Pr 0.0000 0.0000 0.0000
2 Pr 0.5008 0.5008 0.0004
3 Dy 0.0003 0.4999 0.5000
4 Dy 0.0006 0.5000 0.0001
5 Dy 0.4999 0.0003 0.5000
6 Dy 0.5000 0.0006 0.0001
7 Dy 0.5003 0.5003 0.5000
8 In 0.0005 0.0005 0.5004



2.
Here is a relaxed structure of ScMnCl2 from the Alexandria database. Energies are from PBE.

Results
ΔE_f (raw): -0.9009 eV per atom
Magnetization: 4.03 μB per cell
Offset from the most stable computed form: 12 meV/atom

a b c (Å): 3.2636 3.2636 8.2300
angles (deg): 90.00 90.00 90.00
Element x y z (fractional)
1 Sc 0.0000 0.0000 0.0000
2 Mn 0.5000 0.5000 0.7626
3 Cl 0.0000 0.0000 0.6062
4 Cl 0.5000 0.5000 0.1804